Entry 1:
Tb2DyTm2Mg2 | PBE-GGA | relaxed

Computed properties:
ΔH_f (0 K), eV/atom: -0.02
Calculated density, Mg/m³: 7.12
Space group: R-3m

The structure in extended XYZ format:
```
7
Lattice="-0.353 -0.521 5.380 -0.427 -4.921 2.222 7.666 -2.287 3.008" Properties=species:S:1:pos:R:3 pbc="T T T"
Tb 1.703 -3.761 5.201
Tb 5.184 -3.969 5.409
Dy 0.000 0.000 0.000
Tm 4.002 -2.068 2.789
Tm 2.884 -5.661 7.821
Mg 6.080 -5.852 8.012
Mg 0.806 -1.878 2.598
```

=====

Entry 2:
Tb5Dy2TmMg | PBE-GGA | relaxed

Computed properties:
ΔH_f (0 K), eV/atom: 0.10
Calculated density, Mg/m³: 7.70
Space group: Cmc2_1

The structure in extended XYZ format:
```
18
Lattice="5.400 0.000 0.000 -2.700 9.987 0.000 0.000 0.000 10.500" Properties=species:S:1:pos:R:3 pbc="T T T"
Tb 0.000 7.618 0.088
Tb 2.700 4.212 8.488
Tb 0.000 9.982 7.957
Tb 0.000 5.791 7.439
Tb 2.700 9.696 5.338
Tb 2.700 2.370 5.338
Tb 0.000 5.776 3.238
Tb 2.700 0.006 2.707
Tb 2.700 4.197 2.189
Tb 0.000 0.292 0.088
Dy 2.700 7.704 8.355
Dy 0.000 2.288 7.572
Dy 0.000 2.284 3.105
Dy 2.700 7.699 2.323
Tm 2.700 5.889 5.339
Tm 0.000 4.098 0.089
Mg 2.700 1.906 0.073
Mg 0.000 8.081 5.323
```

=====

Entry 3:
TbDy5Tm2Mg | PBE-GGA | relaxed

Computed properties:
ΔH_f (0 K), eV/atom: 0.11
Calculated density, Mg/m³: 7.90
Space group: Cmc2_1

The structure in extended XYZ format:
```
18
Lattice="-3.914 2.001 3.110 6.753 -4.192 6.535 5.119 9.129 0.567" Properties=species:S:1:pos:R:3 pbc="T T T"
Tb 3.475 3.761 6.614
Tb 2.011 -1.232 3.323
Dy 3.711 -2.364 6.192
Dy 4.189 7.024 5.413
Dy 8.671 3.729 8.513
Dy 6.421 4.628 5.103
Dy 5.310 2.539 9.710
Dy 1.774 4.892 3.745
Dy 4.350 0.951 4.862
Dy -0.634 3.352 1.707
Dy 1.127 1.581 5.063
Dy 0.175 -0.010 0.227
Tm 5.814 5.794 8.250
Tm 4.792 5.864 2.257
Tm 2.604 1.964 2.012
Tm 2.881 0.567 7.922
Mg -1.012 0.459 3.093
Mg 6.482 2.042 6.843
```

=====

Entry 4:
Tb4DyTm2Mg | PBE-GGA | relaxed

Computed properties:
ΔH_f (0 K), eV/atom: 0.02
Calculated density, Mg/m³: 7.94
Space group: P4/mmm

The structure in extended XYZ format:
```
8
Lattice="-2.857 3.227 -2.453 -3.592 -3.415 -0.310 -7.345 -0.246 8.231" Properties=species:S:1:pos:R:3 pbc="T T T"
Tb -8.215 -2.736 5.969
Tb -5.579 2.302 -0.499
Tb -5.944 -1.018 0.571
Tb -7.849 0.585 4.898
Dy -5.468 -1.830 3.961
Tm -7.345 -0.246 8.231
Tm -5.101 1.491 2.889
Mg -10.569 -0.340 6.850
```

=====

Entry 5:
Tb2Dy5TmMg | PBE-GGA | relaxed

Computed properties:
ΔH_f (0 K), eV/atom: 0.10
Calculated density, Mg/m³: 7.81
Space group: Cmc2_1

The structure in extended XYZ format:
```
18
Lattice="5.389 0.000 0.000 -2.694 9.997 0.000 0.000 0.000 10.446" Properties=species:S:1:pos:R:3 pbc="T T T"
Tb 2.694 7.706 8.315
Tb 0.000 2.295 7.530
Tb 0.000 2.292 3.093
Tb 2.694 7.702 2.307
Dy 0.000 7.632 0.088
Dy 2.694 4.218 8.449
Dy 0.000 9.991 7.917
Dy 0.000 5.791 7.394
Dy 2.694 9.711 5.311
Dy 2.694 2.365 5.311
Dy 0.000 5.779 3.226
Dy 2.694 0.006 2.694
Dy 2.694 4.206 2.171
Dy 0.000 0.286 0.088
Tm 2.694 5.885 5.311
Tm 0.000 4.112 0.088
Mg 2.694 1.907 0.074
Mg 0.000 8.090 5.297
```

=====

Entry 6:
Tb4Dy2TmMg | PBE-GGA | relaxed

Computed properties:
ΔH_f (0 K), eV/atom: 0.02
Calculated density, Mg/m³: 7.84
Space group: Pmmm

The structure in extended XYZ format:
```
8
Lattice="-3.487 -3.402 0.929 2.018 -0.849 4.464 -3.765 6.157 8.418" Properties=species:S:1:pos:R:3 pbc="T T T"
Tb -1.318 3.991 9.666
Tb -3.916 -2.085 4.144
Tb -1.164 -0.808 5.910
Tb -4.070 2.714 7.901
Dy -1.469 -4.251 5.393
Dy -3.626 1.377 4.673
Tm -0.873 2.654 6.441
Mg -0.735 -2.126 2.696
```

=====

Entry 7:
TbDy2Tm2Mg | PBE-GGA | relaxed

Computed properties:
ΔH_f (0 K), eV/atom: 0.49
Calculated density, Mg/m³: 6.58
Space group: Pnnm

The structure in extended XYZ format:
```
12
Lattice="-3.277 -1.038 1.033 0.191 -8.536 -7.973 4.152 -6.296 6.841" Properties=species:S:1:pos:R:3 pbc="T T T"
Tb -1.543 -4.787 -3.470
Tb 2.076 -3.148 3.420
Dy 0.194 -9.701 -2.901
Dy 0.873 -6.170 2.801
Dy 3.898 -11.877 0.426
Dy 0.445 -2.955 -1.558
Tm -0.591 -2.705 1.642
Tm 1.152 -6.467 -2.847
Tm 1.657 -13.166 -1.741
Tm 3.192 -8.366 1.714
Mg 0.000 0.000 0.000
Mg 0.533 -7.935 -0.050
```

=====

Entry 8:
TbDy4Tm2Mg | PBE-GGA | relaxed

Computed properties:
ΔH_f (0 K), eV/atom: 0.02
Calculated density, Mg/m³: 8.06
Space group: P4/mmm

The structure in extended XYZ format:
```
8
Lattice="-3.833 2.128 -2.282 1.578 -1.801 -4.331 -3.799 -9.953 -2.902" Properties=species:S:1:pos:R:3 pbc="T T T"
Tb -1.110 -5.877 -3.617
Dy -1.682 -8.841 -5.421
Dy -4.372 -0.784 -4.094
Dy -1.665 -2.746 -5.117
Dy -4.388 -6.879 -4.398
Tm -3.799 -9.953 -2.902
Tm -3.816 -3.912 -2.592
Mg -1.127 0.164 -3.306
```

=====

Entry 9:
Tb6Dy2TmMg | PBE-GGA | relaxed

Computed properties:
ΔH_f (0 K), eV/atom: 0.11
Calculated density, Mg/m³: 7.81
Space group: C2/c

The structure in extended XYZ format:
```
20
Lattice="6.476 -0.752 -0.781 1.593 10.271 -3.377 1.593 -3.756 10.139" Properties=species:S:1:pos:R:3 pbc="T T T"
Tb 1.598 -2.139 7.732
Tb 4.826 -1.667 8.223
Tb 8.064 7.903 -1.751
Tb 4.836 7.430 -2.241
Tb 3.964 7.563 1.115
Tb 2.460 5.306 -1.228
Tb 5.698 -1.799 4.866
Tb 7.202 0.458 7.209
Tb 2.098 5.149 3.024
Tb 4.326 3.308 1.114
Tb 7.563 0.615 2.957
Tb 5.336 2.455 4.867
Dy 5.626 5.611 3.460
Dy 7.274 2.138 -0.144
Dy 4.036 0.153 2.522
Dy 2.388 3.625 6.125
Tm 3.212 9.983 -3.475
Tm 6.450 -4.219 9.457
Mg 3.212 0.197 5.954
Mg 6.450 5.567 0.027
```

=====

Entry 10:
Tb2DyTm2Mg | PBE-GGA | relaxed

Computed properties:
ΔH_f (0 K), eV/atom: 0.48
Calculated density, Mg/m³: 6.55
Space group: Pnnm

The structure in extended XYZ format:
```
12
Lattice="-2.955 1.225 -1.640 -1.955 -10.665 -4.443 -5.523 -2.388 8.163" Properties=species:S:1:pos:R:3 pbc="T T T"
Tb -5.224 -8.642 -0.983
Tb -5.209 -3.186 3.063
Tb -6.400 -9.863 4.163
Tb -1.077 -3.190 -0.442
Dy -2.455 -4.720 -3.042
Dy -2.761 -1.194 4.082
Tm -2.996 -0.758 0.891
Tm -2.505 -6.707 -0.497
Tm -7.436 -11.070 1.189
Tm -4.973 -6.346 4.218
Mg 0.000 0.000 0.000
Mg -5.216 -5.914 1.040
```